[1]
{"formula": "AuSe2I8", "functional": "PBE-GGA", "state": "optimized geometry", "lattice": [[7.291, -4.628, 0.000], [7.291, 4.628, 0.000], [-0.099, 0.000, 8.648]], "species": ["Au", "Se", "Se", "I", "I", "I", "I", "I", "I", "I", "I"], "fractional_positions": [[0.000, 0.000, 0.000], [0.219, 0.219, 0.403], [0.781, 0.781, 0.597], [0.113, 0.702, 0.849], [0.247, 0.247, 0.698], [0.298, 0.887, 0.151], [0.377, 0.377, 0.284], [0.623, 0.623, 0.716], [0.702, 0.113, 0.849], [0.753, 0.753, 0.302], [0.887, 0.298, 0.151]], "formation_energy_uncorrected_ev_per_atom": 0.068, "energy_ev_per_atom": -1.9910}


[2]
{"formula": "Sm2DyGe3Pt4", "functional": "PBE-GGA", "state": "optimized geometry", "lattice": [[4.282, 0.000, 0.000], [0.000, 4.282, 0.000], [0.000, 0.000, 11.229]], "species": ["Sm", "Sm", "Dy", "Ge", "Ge", "Ge", "Pt", "Pt", "Pt", "Pt"], "fractional_positions": [[0.000, 0.500, 0.221], [0.500, 0.000, 0.779], [0.000, 0.000, 0.500], [0.000, 0.500, 0.876], [0.500, 0.000, 0.124], [0.500, 0.500, 0.500], [0.000, 0.000, 0.000], [0.000, 0.500, 0.657], [0.500, 0.000, 0.343], [0.500, 0.500, 0.000]], "ef_mev_per_atom": -959, "energy_ev_per_atom": -6.1650}


[3]
{"formula": "Pr2Mg3Pt2", "functional": "PBE-GGA", "state": "optimized geometry", "lattice": [[5.246, -2.186, 0.000], [5.246, 2.186, 0.000], [-3.001, 0.000, 7.084]], "species": ["Pr", "Pr", "Mg", "Mg", "Mg", "Pt", "Pt"], "fractional_positions": [[0.141, 0.141, 0.284], [0.859, 0.859, 0.716], [0.363, 0.363, 0.062], [0.500, 0.500, 0.500], [0.637, 0.637, 0.938], [0.150, 0.150, 0.703], [0.850, 0.850, 0.297]], "ef_mev_per_atom": -756, "energy_ev_per_atom": -4.5310}


[4]
{"formula": "DyThMg", "functional": "PBE-GGA", "state": "optimized geometry", "lattice": [[-1.775, 1.775, 7.067], [1.775, -1.775, 7.067], [1.775, 1.775, -7.067]], "species": ["Dy", "Th", "Mg"], "fractional_positions": [[0.000, 0.000, 0.000], [0.675, 0.675, 0.000], [0.343, 0.343, 0.000]], "ef_mev_per_atom": 11, "energy_ev_per_atom": -4.5283, "e_above_lowest_polymorph_ev_per_fu": 0.103}


[5]
{"formula": "Ca4NdY3Te8", "functional": "PBE-GGA", "state": "optimized geometry", "lattice": [[4.413, 2.548, 7.377], [-4.413, 2.548, 7.377], [0.000, -5.095, 7.377]], "species": ["Ca", "Ca", "Ca", "Ca", "Nd", "Y", "Y", "Y", "Te", "Te", "Te", "Te", "Te", "Te", "Te", "Te"], "fractional_positions": [[0.000, 0.000, 0.000], [0.000, 0.500, 0.500], [0.500, 0.000, 0.500], [0.500, 0.500, 0.000], [0.500, 0.500, 0.500], [0.000, 0.000, 0.500], [0.000, 0.500, 0.000], [0.500, 0.000, 0.000], [0.244, 0.752, 0.752], [0.248, 0.248, 0.248], [0.248, 0.248, 0.756], [0.248, 0.756, 0.248], [0.752, 0.244, 0.752], [0.752, 0.752, 0.244], [0.752, 0.752, 0.752], [0.756, 0.248, 0.248]], "formation_energy_uncorrected_ev_per_atom": -1.480, "energy_ev_per_atom": -5.0615}


[6]
{"formula": "Nd7Sm3Y2", "functional": "PBE-GGA", "state": "optimized geometry", "lattice": [[6.528, 0.000, 0.000], [0.000, 3.593, 0.000], [-1.853, 0.000, 17.724]], "species": ["Nd", "Nd", "Nd", "Nd", "Nd", "Nd", "Nd", "Sm", "Sm", "Sm", "Y", "Y"], "fractional_positions": [[0.000, 0.000, 0.000], [0.225, 0.500, 0.170], [0.257, 0.500, 0.496], [0.273, 0.000, 0.832], [0.727, 0.000, 0.168], [0.743, 0.500, 0.504], [0.775, 0.500, 0.830], [0.454, 0.000, 0.339], [0.500, 0.500, 0.000], [0.546, 0.000, 0.661], [0.057, 0.500, 0.670], [0.943, 0.500, 0.330]], "ef_mev_per_atom": 71, "energy_ev_per_atom": -4.9672, "e_above_lowest_polymorph_ev_per_fu": 0.000}


[7]
{"formula": "Mg10In6Pb", "functional": "PBE-GGA", "state": "optimized geometry", "lattice": [[8.753, 0.000, 0.000], [-4.377, 7.581, 0.000], [0.000, 0.000, 6.240]], "species": ["Mg", "Mg", "Mg", "Mg", "Mg", "Mg", "Mg", "Mg", "Mg", "Mg", "In", "In", "In", "In", "In", "In", "Pb"], "fractional_positions": [[0.000, 0.287, 0.307], [0.000, 0.713, 0.693], [0.287, 0.000, 0.307], [0.287, 0.287, 0.693], [0.333, 0.667, 0.000], [0.333, 0.667, 0.500], [0.667, 0.333, 0.000], [0.667, 0.333, 0.500], [0.713, 0.000, 0.693], [0.713, 0.713, 0.307], [0.000, 0.374, 0.781], [0.000, 0.626, 0.219], [0.374, 0.000, 0.781], [0.374, 0.374, 0.219], [0.626, 0.000, 0.219], [0.626, 0.626, 0.781], [0.000, 0.000, 0.000]], "ef_mev_per_atom": -39, "energy_ev_per_atom": -2.1617}


[8]
{"formula": "InCuAs2", "functional": "PBE-GGA", "state": "optimized geometry", "lattice": [[0.000, 3.375, 3.375], [3.375, 0.000, 3.375], [3.375, 3.375, 0.000]], "species": ["In", "Cu", "As", "As"], "fractional_positions": [[0.000, 0.000, 0.000], [0.250, 0.250, 0.250], [0.500, 0.500, 0.500], [0.750, 0.750, 0.750]], "ef_mev_per_atom": 392, "energy_ev_per_atom": -3.6410}